Crystalline Zr3MoAu at its relaxed geometry. Source: Alexandria, functional PBE-GGA.

a b c (Å): 5.003 5.003 5.003
angles (deg): 90.00 90.00 90.00
Fractional coordinates of all 5 atoms:
1 Zr 0.000 0.000 0.500
2 Zr 0.000 0.500 0.000
3 Zr 0.500 0.000 0.000
4 Mo 0.000 0.000 0.000
5 Au 0.500 0.500 0.500

Computed properties:
Fermi-level density of states = 5.7 states/eV/cell
E above lowest polymorph = 0.00 eV per formula unit
Total magnetization = 0.00 μB per formula unit
Crystal system = cubic
Energy of formation from the pure elements = 0.66 eV per atom
VASP energy = -7.29 eV per atom
Symmetry = Pm-3m

Crystalline Dy7Y at its relaxed geometry. Source: Alexandria, functional PBE-GGA.

a b c (Å): 8.712 8.712 8.712
angles (deg): 156.59 101.02 83.76
Fractional coordinates of all 8 atoms:
1 Dy 0.000 0.000 0.000
2 Dy 0.098 0.367 0.731
3 Dy 0.259 0.259 0.000
4 Dy 0.364 0.633 0.731
5 Dy 0.636 0.367 0.269
6 Dy 0.741 0.741 0.000
7 Dy 0.902 0.633 0.269
8 Y 0.500 0.000 0.500

Computed properties:
Fermi-level density of states = 12.7 states/eV/cell
E above lowest polymorph = 0.12 eV per formula unit
Total magnetization = 0.00 μB per formula unit
Crystal system = orthorhombic
Energy of formation from the pure elements = 0.03 eV per atom
VASP energy = -4.80 eV per atom
Symmetry = Immm